12
Lattice="-4.246 1.677 -0.885 -2.013 -8.181 6.376 2.766 8.592 3.009" Properties=species:S:1:pos:R:3 comment="LaTm3Pb2 | the Alexandria database | PBE | relaxed" total_energy_ev_per_atom=-4.62 mass_density_g_cm3=9.459 sg="C2/m (12)" ef_ev_per_atom=-0.32 pbc="T T T"
Pb 0.171 3.181 5.210
Tm -2.429 -3.519 4.987
Pb -3.664 -1.093 3.291
La -2.783 3.024 6.868
Tm -1.064 5.607 3.513
Tm 0.705 2.831 1.982
Tm -1.154 -0.218 5.127
Pb -1.740 -0.066 8.224
La -0.710 -0.937 1.633
Tm -4.198 -0.743 6.519
Pb -1.753 2.154 0.276
Tm -2.339 2.306 3.373